Entry 1:
# V3GaRu3

A relaxed V3GaRu3 crystal (GGA-PBE, Alexandria via LeMat-Bulk).

POSCAR file:
```
V3GaRu3
1.0
5.9167 -0.0901 -0.0007
-0.0765 5.9169 -0.0007
0.0008 0.0008 5.8703
V Ga Ru
6 2 6
Direct
0.2585 0.2585 0.4999 V
0.2741 0.7259 0.5000 V
0.7259 0.2741 0.5000 V
0.2442 0.7558 0.0000 V
0.7558 0.2442 0.0000 V
0.7415 0.7415 0.5001 V
0.2863 0.2863 0.0001 Ga
0.7137 0.7137 0.9999 Ga
0.0000 0.0000 0.7437 Ru
0.5000 0.0000 0.2544 Ru
0.0000 0.5000 0.2544 Ru
0.5000 0.0000 0.7456 Ru
0.0000 0.5000 0.7456 Ru
0.0000 0.0000 0.2563 Ru
```

Computed properties:
ρ, g/cm³: 8.5
Energy relative to the elements, kJ per mole of atoms: -14.3

Entry 2:
# Nd2CoGe

A relaxed Nd2CoGe crystal (GGA-PBE, Alexandria via LeMat-Bulk).

POSCAR file:
```
Nd2CoGe
1.0
4.3000 0.0000 0.0000
0.0000 5.8991 -0.0511
0.0000 -3.0142 7.5634
Nd Co Ge
4 2 2
Direct
0.7500 0.2281 0.4157 Nd
0.2500 0.7719 0.5843 Nd
0.2500 0.7766 0.0568 Nd
0.7500 0.2234 0.9432 Nd
0.2500 0.4273 0.2281 Co
0.7500 0.5727 0.7719 Co
0.7500 0.6579 0.2921 Ge
0.2500 0.3421 0.7079 Ge
```

Computed properties:
ρ, g/cm³: 7.3
Energy relative to the elements, kJ per mole of atoms: -42.2

Entry 3:
# SiRuBr

A relaxed SiRuBr crystal (GGA-PBE, Alexandria via LeMat-Bulk).

POSCAR file:
```
SiRuBr
1.0
6.6455 0.0295 -0.0099
4.9545 4.4290 0.0099
-6.0202 -1.6564 2.2754
Br Ru Si
1 1 1
Direct
0.0238 0.0238 0.0000 Br
0.2208 0.2208 0.0000 Ru
0.7553 0.7553 0.0000 Si
```

Computed properties:
ΔE_f (raw), eV per formula unit: 0.217
Distance to the lowest polymorph of the same formula, meV/atom: 0
ρ, g/cm³: 5.2

Entry 4:
# PmIn2Au

A relaxed PmIn2Au crystal (GGA-PBE, Alexandria via LeMat-Bulk).

POSCAR file:
```
PmIn2Au
1.0
4.5409 0.0000 0.0000
0.0000 4.2271 -0.4284
0.0000 -1.5741 10.6721
Pm In Au
2 4 2
Direct
0.7500 0.4196 0.7721 Pm
0.2500 0.5804 0.2279 Pm
0.7500 0.9006 0.0625 In
0.2500 0.0994 0.9375 In
0.7500 0.7589 0.5045 In
0.2500 0.2411 0.4955 In
0.7500 0.1574 0.3212 Au
0.2500 0.8426 0.6788 Au
```

Computed properties:
Distance to the lowest polymorph of the same formula, meV/atom: 51
ρ, g/cm³: 9.4
Energy relative to the elements, kJ per mole of atoms: -49.7

Entry 5:
# VGa2H6

A relaxed VGa2H6 crystal (GGA-PBE, Alexandria via LeMat-Bulk).

POSCAR file:
```
VGa2H6
1.0
-3.2598 0.0598 3.2570
1.1194 -0.8146 4.3956
-0.1169 3.4257 3.0805
V Ga H
1 2 6
Direct
0.0000 0.0000 0.0000 V
0.7500 0.7500 0.7500 Ga
0.2500 0.2500 0.2500 Ga
0.2618 0.7382 0.7382 H
0.7382 0.7382 0.2618 H
0.7382 0.2618 0.7382 H
0.7382 0.2618 0.2618 H
0.2618 0.2618 0.7382 H
0.2618 0.7382 0.2618 H
```

Computed properties:
ρ, g/cm³: 4.7
E, eV per atom: -3.698

Entry 6:
# YZrFe2

A relaxed YZrFe2 crystal (GGA-PBE, Alexandria via LeMat-Bulk).

POSCAR file:
```
YZrFe2
1.0
6.9949 0.0000 0.0000
0.0000 6.9949 0.0000
3.4975 3.4975 2.9681
Y Fe Zr
2 4 2
Direct
0.5000 0.5000 0.0000 Y
0.2500 0.7500 0.5000 Y
0.6449 0.1250 0.2500 Fe
0.1051 0.6250 0.2500 Fe
0.3750 0.3551 0.7500 Fe
0.8750 0.8949 0.7500 Fe
0.0000 0.0000 0.0000 Zr
0.7500 0.2500 0.5000 Zr
```

Computed properties:
Distance to the lowest polymorph of the same formula, meV/atom: 571
ρ, g/cm³: 6.7
Energy relative to the elements, kJ per mole of atoms: 54.0

Entry 7:
# Ti2PdRh4

A relaxed Ti2PdRh4 crystal (GGA-PBE, Alexandria via LeMat-Bulk).

POSCAR file:
```
Ti2PdRh4
1.0
-2.5254 -1.3471 8.2189
-6.4603 2.1642 0.1707
3.0086 -5.2269 0.9887
Ti Pd Rh
4 2 8
Direct
0.9395 0.6470 0.4060 Ti
0.0605 0.3530 0.5940 Ti
0.5604 0.8530 0.5940 Ti
0.4396 0.1470 0.4060 Ti
0.0000 0.0000 0.0000 Pd
0.5000 0.5000 0.0000 Pd
0.8507 0.3069 0.8787 Rh
0.7213 0.5632 0.7023 Rh
0.7787 0.9368 0.2976 Rh
0.6493 0.1931 0.1213 Rh
0.3507 0.8069 0.8787 Rh
0.2213 0.0632 0.7024 Rh
0.2787 0.4368 0.2977 Rh
0.1493 0.6931 0.1213 Rh
```

Computed properties:
ρ, g/cm³: 9.8
Energy relative to the elements, kJ per mole of atoms: -47.3

Entry 8:
# La6Bi3H

A relaxed La6Bi3H crystal (GGA-PBE, Alexandria via LeMat-Bulk).

POSCAR file:
```
La6Bi3H
1.0
-4.1012 -1.7756 -2.5722
5.7443 -8.8363 -3.0590
-4.5288 -3.2391 9.4568
La Bi H
12 6 2
Direct
0.1480 0.7390 0.5951 La
0.6480 0.5951 0.7390 La
0.1485 0.4178 0.9169 La
0.6485 0.9169 0.4178 La
0.1480 0.0708 0.9292 La
0.6482 0.2506 0.7494 La
0.1482 0.7494 0.2506 La
0.6480 0.9292 0.0708 La
0.1485 0.0831 0.5822 La
0.6485 0.5822 0.0831 La
0.1480 0.4049 0.2610 La
0.6480 0.2610 0.4049 La
0.6481 0.9330 0.7354 Bi
0.1481 0.7354 0.9330 Bi
0.1479 0.4032 0.5968 Bi
0.6479 0.5968 0.4032 Bi
0.1481 0.0670 0.2646 Bi
0.6481 0.2646 0.0670 Bi
0.1520 0.2078 0.7922 H
0.6520 0.7922 0.2078 H
```

Computed properties:
ρ, g/cm³: 8.0
E, eV per atom: -5.123